A relaxed Pm2ZrSe4 crystal, computed with PBE.

D(E_F) (states/eV per atom): 0.17
Final energy (eV/atom): -6.190

abc: 14.708 4.113 7.402
angles: 90.00 119.57 90.00
Space group C2/m (No. 12)
Symmetry-distinct sites (fractional):
Pm1 0.235 0.000 0.223 x4
Zr1 0.000 0.500 0.500 x2
Se1 0.112 0.500 0.923 x4
Se2 0.123 0.000 0.476 x4